[1]
Here is a geometry-optimized TcCSe2 structure from Alexandria via LeMat-Bulk. Energies are from GGA-PBE.

a = 5.318 Å, b = 5.318 Å, c = 9.911 Å
α = 90.00°, β = 90.00°, γ = 90.00°
Space group I-42d (No. 122)
Inequivalent atoms, fractional coordinates:
Tc 0.000 0.000 0.000
C 0.000 0.000 0.500
Se 0.207 0.250 0.625

Summary:
density of states at the Fermi level	0.94	states/eV/atom
uncorrected formation energy	1.04	eV per atom
total magnetic moment	0.000	μB/f.u.
crystal system	tetragonal



[2]
Here is a geometry-optimized TcC3Se structure from Alexandria via LeMat-Bulk. Energies are from GGA-PBE.

a = 3.822 Å, b = 3.822 Å, c = 3.822 Å
α = 90.00°, β = 90.00°, γ = 90.00°
Space group Pm-3m (No. 221)
Inequivalent atoms, fractional coordinates:
Tc 0.000 0.000 0.000
C 0.000 0.500 0.500
Se 0.500 0.500 0.500

Summary:
density of states at the Fermi level	1.30	states/eV/atom
excess energy over the best structure of this formula in the dataset	817.3	meV/atom
uncorrected formation energy	2.99	eV per atom
total magnetic moment	0.000	μB/f.u.
crystal system	cubic



[3]
Here is a geometry-optimized TcC3Se structure from Alexandria via LeMat-Bulk. Energies are from GGA-PBE.

a = 4.083 Å, b = 4.083 Å, c = 4.083 Å
α = 90.00°, β = 90.00°, γ = 90.00°
Space group Pm-3m (No. 221)
Inequivalent atoms, fractional coordinates:
Tc 0.000 0.000 0.000
C 0.000 0.000 0.500
Se 0.500 0.500 0.500

Summary:
density of states at the Fermi level	1.13	states/eV/atom
excess energy over the best structure of this formula in the dataset	0.0	meV/atom
uncorrected formation energy	2.17	eV per atom
total magnetic moment	0.000	μB/f.u.
crystal system	cubic



[4]
Here is a geometry-optimized Tc2CSe structure from Alexandria via LeMat-Bulk. Energies are from GGA-PBE.

a = 5.838 Å, b = 5.838 Å, c = 5.838 Å
α = 90.00°, β = 90.00°, γ = 90.00°
Space group Fm-3m (No. 225)
Inequivalent atoms, fractional coordinates:
Tc 0.250 0.250 0.250
C 0.000 0.000 0.000
Se 0.000 0.000 0.500

Summary:
density of states at the Fermi level	0.71	states/eV/atom
excess energy over the best structure of this formula in the dataset	444.5	meV/atom
uncorrected formation energy	0.86	eV per atom
total magnetic moment	0.000	μB/f.u.
crystal system	cubic



[5]
Here is a geometry-optimized TcCSe2 structure from Alexandria via LeMat-Bulk. Energies are from GGA-PBE.

a = 3.1150 Å, b = 3.1150 Å, c = 22.1871 Å
α = 90.00°, β = 90.00°, γ = 120.00°
Space group R-3m (No. 166, hexagonal axes)
Inequivalent atoms, fractional coordinates:
Tc 0.0000 0.0000 0.0000
C 0.0000 0.0000 0.5000
Se 0.0000 0.0000 0.1055

Summary:
density of states at the Fermi level	0.67	states/eV/atom
uncorrected formation energy	1.36	eV per atom
total magnetic moment	0.000	μB/f.u.
crystal system	trigonal



[6]
Here is a geometry-optimized Tc3CSe structure from Alexandria via LeMat-Bulk. Energies are from GGA-PBE.

a = 4.120 Å, b = 4.120 Å, c = 4.120 Å
α = 90.00°, β = 90.00°, γ = 90.00°
Space group Pm-3m (No. 221)
Inequivalent atoms, fractional coordinates:
Tc 0.000 0.000 0.500
C 0.000 0.000 0.000
Se 0.500 0.500 0.500

Summary:
density of states at the Fermi level	1.15	states/eV/atom
excess energy over the best structure of this formula in the dataset	0.0	meV/atom
uncorrected formation energy	0.48	eV per atom
total magnetic moment	0.000	μB/f.u.
crystal system	cubic



[7]
Here is a geometry-optimized TcCSe3 structure from Alexandria via LeMat-Bulk. Energies are from GGA-PBE.

a = 4.274 Å, b = 4.274 Å, c = 4.274 Å
α = 90.00°, β = 90.00°, γ = 90.00°
Space group Pm-3m (No. 221)
Inequivalent atoms, fractional coordinates:
Tc 0.000 0.000 0.000
C 0.500 0.500 0.500
Se 0.000 0.500 0.500

Summary:
density of states at the Fermi level	0.56	states/eV/atom
excess energy over the best structure of this formula in the dataset	0.0	meV/atom
uncorrected formation energy	1.31	eV per atom
total magnetic moment	0.000	μB/f.u.
crystal system	cubic



[8]
Here is a geometry-optimized TcCSe3 structure from Alexandria via LeMat-Bulk. Energies are from GGA-PBE.

a = 4.859 Å, b = 4.859 Å, c = 4.859 Å
α = 90.00°, β = 90.00°, γ = 90.00°
Space group Pm-3m (No. 221)
Inequivalent atoms, fractional coordinates:
Tc 0.000 0.000 0.000
C 0.500 0.500 0.500
Se 0.000 0.000 0.500

Summary:
density of states at the Fermi level	1.24	states/eV/atom
excess energy over the best structure of this formula in the dataset	347.3	meV/atom
uncorrected formation energy	1.66	eV per atom
total magnetic moment	1.629	μB/f.u.
crystal system	cubic



[9]
Here is a geometry-optimized Tc2CSe structure from Alexandria via LeMat-Bulk. Energies are from GGA-PBE.

a = 5.184 Å, b = 5.184 Å, c = 9.588 Å
α = 90.00°, β = 90.00°, γ = 90.00°
Space group I-42d (No. 122)
Inequivalent atoms, fractional coordinates:
Tc 0.177 0.250 0.125
C 0.000 0.000 0.000
Se 0.000 0.000 0.500

Summary:
density of states at the Fermi level	0.78	states/eV/atom
excess energy over the best structure of this formula in the dataset	0.0	meV/atom
uncorrected formation energy	0.42	eV per atom
total magnetic moment	0.001	μB/f.u.
crystal system	tetragonal



[10]
Here is a geometry-optimized YTc2CSe structure from Alexandria via LeMat-Bulk. Energies are from GGA-PBE.

a = 4.055 Å, b = 4.055 Å, c = 5.045 Å
α = 90.00°, β = 90.00°, γ = 90.00°
Space group P4/mmm (No. 123)
Inequivalent atoms, fractional coordinates:
Y 0.000 0.000 0.000
Tc 0.000 0.500 0.500
C 0.000 0.000 0.500
Se 0.500 0.500 0.000

Summary:
density of states at the Fermi level	0.69	states/eV/atom
uncorrected formation energy	-0.10	eV per atom
total magnetic moment	0.000	μB/f.u.
crystal system	tetragonal



[11]
Here is a geometry-optimized Te2CSe2 structure from Alexandria via LeMat-Bulk. Energies are from GGA-PBE.

a = 3.669 Å, b = 3.669 Å, c = 18.321 Å
α = 90.00°, β = 90.00°, γ = 90.00°
Space group I4/mmm (No. 139)
Inequivalent atoms, fractional coordinates:
Te 0.000 0.000 0.072
C 0.000 0.000 0.500
Se 0.000 0.500 0.250

Summary:
density of states at the Fermi level	0.34	states/eV/atom
excess energy over the best structure of this formula in the dataset	59.9	meV/atom
uncorrected formation energy	1.20	eV per atom
total magnetic moment	0.366	μB/f.u.
crystal system	tetragonal



[12]
Here is a geometry-optimized Te2CSe structure from Alexandria via LeMat-Bulk. Energies are from GGA-PBE.

a = 4.8079 Å, b = 4.8079 Å, c = 21.0087 Å
α = 90.00°, β = 90.00°, γ = 120.00°
Space group R-3m (No. 166, hexagonal axes)
Inequivalent atoms, fractional coordinates:
Te 0.0000 0.0000 0.0922
C 0.0000 0.0000 0.0000
Se 0.0000 0.0000 0.5000

Summary:
density of states at the Fermi level	0.73	states/eV/atom
excess energy over the best structure of this formula in the dataset	52.1	meV/atom
uncorrected formation energy	1.03	eV per atom
total magnetic moment	0.000	μB/f.u.
crystal system	trigonal



[13]
Here is a geometry-optimized Te2CSe structure from Alexandria via LeMat-Bulk. Energies are from GGA-PBE.

a = 3.4293 Å, b = 3.4293 Å, c = 26.1310 Å
α = 90.00°, β = 90.00°, γ = 120.00°
Space group R-3m (No. 166, hexagonal axes)
Inequivalent atoms, fractional coordinates:
Te 0.0000 0.0000 0.1072
C 0.0000 0.0000 0.5000
Se 0.0000 0.0000 0.0000

Summary:
density of states at the Fermi level	0.61	states/eV/atom
excess energy over the best structure of this formula in the dataset	184.8	meV/atom
uncorrected formation energy	1.16	eV per atom
total magnetic moment	0.000	μB/f.u.
crystal system	trigonal



[14]
Here is a geometry-optimized Te2CSe2 structure from Alexandria via LeMat-Bulk. Energies are from GGA-PBE.

a = 7.071 Å, b = 7.071 Å, c = 4.530 Å
α = 90.00°, β = 90.00°, γ = 90.00°
Space group P4/mbm (No. 127)
Inequivalent atoms, fractional coordinates:
Te 0.197 0.303 0.000
C 0.000 0.000 0.000
Se 0.153 0.653 0.500

Summary:
density of states at the Fermi level	0.35	states/eV/atom
excess energy over the best structure of this formula in the dataset	0.0	meV/atom
uncorrected formation energy	1.14	eV per atom
total magnetic moment	0.943	μB/f.u.
crystal system	tetragonal



[15]
Here is a geometry-optimized Te2CSe structure from Alexandria via LeMat-Bulk. Energies are from GGA-PBE.

a = 6.812 Å, b = 6.812 Å, c = 8.148 Å
α = 90.00°, β = 90.00°, γ = 90.00°
Space group I-42d (No. 122)
Inequivalent atoms, fractional coordinates:
Te 0.171 0.250 0.125
C 0.000 0.000 0.000
Se 0.000 0.000 0.500

Summary:
density of states at the Fermi level	0.51	states/eV/atom
excess energy over the best structure of this formula in the dataset	0.0	meV/atom
uncorrected formation energy	0.98	eV per atom
total magnetic moment	0.000	μB/f.u.
crystal system	tetragonal



[16]
Here is a geometry-optimized Te2CSe structure from Alexandria via LeMat-Bulk. Energies are from GGA-PBE.

a = 6.878 Å, b = 6.878 Å, c = 6.878 Å
α = 90.00°, β = 90.00°, γ = 90.00°
Space group Fm-3m (No. 225)
Inequivalent atoms, fractional coordinates:
Te 0.250 0.250 0.250
C 0.000 0.000 0.000
Se 0.000 0.000 0.500

Summary:
density of states at the Fermi level	0.67	states/eV/atom
excess energy over the best structure of this formula in the dataset	635.7	meV/atom
uncorrected formation energy	1.61	eV per atom
total magnetic moment	0.000	μB/f.u.
crystal system	cubic



[17]
Here is a geometry-optimized Th6TeC2Se3 structure from Alexandria via LeMat-Bulk. Energies are from GGA-PBE.

a = 18.056 Å, b = 4.006 Å, c = 8.546 Å
α = 90.00°, β = 103.18°, γ = 90.00°
Space group C2/m (No. 12)
Inequivalent atoms, fractional coordinates:
Th 0.027 0.000 0.278
Th 0.177 0.500 0.140
Th 0.178 0.500 0.561
Te 0.000 0.500 0.000
C 0.175 0.000 0.340
Se 0.000 0.500 0.500
Se 0.156 0.000 0.837

Summary:
density of states at the Fermi level	0.60	states/eV/atom
uncorrected formation energy	-1.08	eV per atom
total magnetic moment	0.000	μB/f.u.
crystal system	monoclinic



[18]
Here is a geometry-optimized Th3TeCSe structure from Alexandria via LeMat-Bulk. Energies are from GGA-PBE.

a = 7.266 Å, b = 3.795 Å, c = 11.904 Å
α = 90.00°, β = 103.37°, γ = 90.00°
Space group P2_1/m (No. 11)
Inequivalent atoms, fractional coordinates:
Th 0.156 0.250 0.122
Th 0.271 0.750 0.503
Th 0.299 0.750 0.870
Te 0.490 0.750 0.296
C 0.100 0.250 0.912
Se 0.011 0.250 0.352

Summary:
density of states at the Fermi level	0.74	states/eV/atom
uncorrected formation energy	-0.89	eV per atom
total magnetic moment	0.000	μB/f.u.
crystal system	monoclinic



[19]
Here is a geometry-optimized Th4TeCSe2 structure from Alexandria via LeMat-Bulk. Energies are from GGA-PBE.

a = 7.173 Å, b = 4.055 Å, c = 7.600 Å
α = 90.00°, β = 108.08°, γ = 90.00°
Space group P2/m (No. 10)
Inequivalent atoms, fractional coordinates:
Th 0.216 0.000 0.203
Th 0.235 0.500 0.792
Te 0.000 0.000 0.500
C 0.000 0.500 0.000
Se 0.500 0.000 0.000
Se 0.500 0.500 0.500

Summary:
density of states at the Fermi level	0.82	states/eV/atom
uncorrected formation energy	-1.08	eV per atom
total magnetic moment	0.000	μB/f.u.
crystal system	monoclinic



[20]
Here is a geometry-optimized Th6TeC3Se2 structure from Alexandria via LeMat-Bulk. Energies are from GGA-PBE.

a = 18.199 Å, b = 3.901 Å, c = 8.443 Å
α = 90.00°, β = 109.51°, γ = 90.00°
Space group C2/m (No. 12)
Inequivalent atoms, fractional coordinates:
Th 0.012 0.000 0.213
Th 0.156 0.500 0.111
Th 0.181 0.500 0.555
Te 0.000 0.500 0.500
C 0.000 0.500 0.000
C 0.167 0.000 0.329
Se 0.167 0.000 0.833

Summary:
density of states at the Fermi level	0.24	states/eV/atom
uncorrected formation energy	-0.98	eV per atom
total magnetic moment	0.000	μB/f.u.
crystal system	monoclinic



[21]
Here is a geometry-optimized Tm6Te3C2Se structure from Alexandria via LeMat-Bulk. Energies are from GGA-PBE.

a = 17.814 Å, b = 3.873 Å, c = 8.264 Å
α = 90.00°, β = 105.99°, γ = 90.00°
Space group C2/m (No. 12)
Inequivalent atoms, fractional coordinates:
Tm 0.032 0.000 0.257
Tm 0.173 0.500 0.142
Tm 0.182 0.500 0.551
Te 0.000 0.500 0.500
Te 0.157 0.000 0.834
C 0.171 0.000 0.337
Se 0.000 0.500 0.000

Summary:
density of states at the Fermi level	0.34	states/eV/atom
uncorrected formation energy	-1.12	eV per atom
total magnetic moment	0.000	μB/f.u.
crystal system	monoclinic



[22]
Here is a geometry-optimized Tm8Te4CSe3 structure from Alexandria via LeMat-Bulk. Energies are from GGA-PBE.

a = 8.1297 Å, b = 8.1297 Å, c = 20.6881 Å
α = 90.00°, β = 90.00°, γ = 120.00°
Space group R-3m (No. 166, hexagonal axes)
Inequivalent atoms, fractional coordinates:
Tm 0.0000 0.0000 0.2393
Tm 0.0377 0.5188 0.2331
Te 0.0000 0.0000 0.0000
Te 0.0000 0.5000 0.0000
C 0.0000 0.0000 0.5000
Se 0.0000 0.5000 0.5000

Summary:
density of states at the Fermi level	0.36	states/eV/atom
uncorrected formation energy	-1.34	eV per atom
total magnetic moment	0.000	μB/f.u.
crystal system	trigonal



[23]
Here is a geometry-optimized Tm8Te3CSe3 structure from Alexandria via LeMat-Bulk. Energies are from GGA-PBE.

a = 8.0852 Å, b = 8.0852 Å, c = 20.8023 Å
α = 90.00°, β = 90.00°, γ = 120.00°
Space group R-3m (No. 166, hexagonal axes)
Inequivalent atoms, fractional coordinates:
Tm 0.0000 0.0000 0.2378
Tm 0.0439 0.5219 0.2319
Te 0.0000 0.5000 0.0000
C 0.0000 0.0000 0.5000
Se 0.0000 0.5000 0.5000

Summary:
density of states at the Fermi level	0.52	states/eV/atom
uncorrected formation energy	-1.20	eV per atom
total magnetic moment	0.000	μB/f.u.
crystal system	trigonal



[24]
Here is a geometry-optimized VTe2CSe structure from Alexandria via LeMat-Bulk. Energies are from GGA-PBE.

a = 5.255 Å, b = 5.255 Å, c = 4.606 Å
α = 90.00°, β = 90.00°, γ = 90.00°
Space group P4/mmm (No. 123)
Inequivalent atoms, fractional coordinates:
V 0.000 0.000 0.000
Te 0.000 0.500 0.000
C 0.500 0.500 0.500
Se 0.000 0.000 0.500

Summary:
density of states at the Fermi level	0.63	states/eV/atom
uncorrected formation energy	1.36	eV per atom
total magnetic moment	1.645	μB/f.u.
crystal system	tetragonal



[25]
Here is a geometry-optimized Y6Te3CSe2 structure from Alexandria via LeMat-Bulk. Energies are from GGA-PBE.

a = 7.139 Å, b = 12.322 Å, c = 7.343 Å
α = 90.00°, β = 108.72°, γ = 90.00°
Space group C2/m (No. 12)
Inequivalent atoms, fractional coordinates:
Y 0.215 0.148 0.202
Y 0.225 0.000 0.790
Te 0.000 0.177 0.500
Te 0.000 0.500 0.500
C 0.000 0.000 0.000
Se 0.000 0.335 0.000

Summary:
density of states at the Fermi level	0.47	states/eV/atom
uncorrected formation energy	-1.38	eV per atom
total magnetic moment	0.000	μB/f.u.
crystal system	monoclinic